[1]
SrHoTm4Se8: optimized geometry, PBE-GGA.

Geometry as POSCAR:
```
SrHoTm4Se8
1.0
8.439 0.000 0.000
4.220 7.308 0.000
4.220 2.436 6.912
Se Tm Ho Sr
8 4 1 1
Direct
0.758 0.758 0.727
0.236 0.236 0.293
0.228 0.756 0.259
0.237 0.792 0.733
0.792 0.237 0.733
0.237 0.237 0.733
0.756 0.228 0.259
0.756 0.756 0.259
0.494 0.002 0.502
0.625 0.625 0.125
0.002 0.494 0.502
0.002 0.002 0.502
0.002 0.002 0.994
0.374 0.374 0.877
```

Properties
Space-group type: R3m
Formation energy without anion corrections, eV/atom: -1.7675

***

[2]
YPb6S8: optimized geometry, PBE-GGA.

Geometry as POSCAR:
```
YPb6S8
1.0
-2.717 7.268 1.088
-5.615 1.235 -5.323
-6.896 -0.590 3.673
S Pb Y
8 6 1
Direct
0.834 0.336 0.086
0.682 0.682 0.682
0.914 0.166 0.664
0.664 0.914 0.166
0.086 0.834 0.336
0.318 0.318 0.318
0.336 0.086 0.834
0.166 0.664 0.914
0.734 0.024 0.480
0.266 0.976 0.520
0.976 0.520 0.266
0.480 0.734 0.024
0.024 0.480 0.734
0.520 0.266 0.976
0.000 0.000 0.000
```

Properties
Space-group type: R-3
Formation energy without anion corrections, eV/atom: -0.6603

***

[3]
YFeC: optimized geometry, PBE-GGA.

Geometry as POSCAR:
```
YFeC
1.0
-1.063 3.008 -0.774
-4.096 0.398 0.212
-0.829 2.344 3.286
C Fe Y
1 1 1
Direct
0.939 0.061 0.061
0.286 0.214 0.214
0.775 0.725 0.725
```

Properties
Space-group type: Imm2
Energy above the most stable polymorph in this dataset, eV/f.u.: 1.15

***

[4]
BiSbTeI2: optimized geometry, PBE-GGA.

Geometry as POSCAR:
```
BiSbTeI2
1.0
-0.509 2.244 -5.335
-2.093 -5.064 -1.931
-5.796 1.883 1.345
Sb I Bi Te
1 2 1 1
Direct
0.000 0.000 0.500
0.000 0.500 0.000
0.500 0.000 0.000
0.500 0.500 0.500
0.000 0.000 0.000
```

Properties
Space-group type: P4/mmm
Energy above the most stable polymorph in this dataset, eV/f.u.: 1.00
Formation energy without anion corrections, eV/atom: 0.5492

***

[5]
Pu2Co3Ge2: optimized geometry, PBE-GGA.

Geometry as POSCAR:
```
Pu2Co3Ge2
1.0
3.361 0.000 0.000
-1.680 5.364 -0.636
0.000 -3.172 6.108
Ge Co Pu
2 3 2
Direct
0.845 0.689 0.723
0.155 0.311 0.277
0.425 0.849 0.575
0.500 0.000 0.000
0.575 0.151 0.425
0.827 0.653 0.139
0.173 0.347 0.861
```

Properties
Space-group type: C2/m
Final energy, eV/atom: -8.560